No. 1
## TaNbPb2O4 (PBE)

Data for TaNbPb2O4 after structural relaxation.

Cell and atoms, written as POSCAR:
```
TaNbPb2O4
1.0
3.0675 0.0000 0.0000
-1.5338 2.6566 0.0000
0.0000 0.0000 14.9532
Ta Nb Pb O
1 1 2 4
direct
0.0000 0.0000 0.0000 Ta
0.3333 0.6667 0.5000 Nb
0.6667 0.3333 0.2516 Pb
0.6667 0.3333 0.7484 Pb
0.6667 0.3333 0.0817 O
0.6667 0.3333 0.4168 O
0.6667 0.3333 0.5832 O
0.6667 0.3333 0.9183 O
```

Output
The total DFT energy (no corrections) comes out at -7.822 eV/atom. As for the space group: P-6m2 (187). As for the theoretical density: 10.251 g/cm³.

No. 2
## Nb2ZnPb3O9 (PBE)

Data for Nb2ZnPb3O9 after structural relaxation.

Cell and atoms, written as POSCAR:
```
Nb2ZnPb3O9
1.0
5.7339 0.0000 0.0000
-2.8669 4.9657 0.0000
0.0000 0.0000 7.0487
Nb Zn Pb O
2 1 3 9
direct
0.3333 0.6667 0.1793 Nb
0.6667 0.3333 0.8207 Nb
0.0000 0.0000 0.5000 Zn
0.0000 0.0000 0.0000 Pb
0.3333 0.6667 0.6644 Pb
0.6667 0.3333 0.3356 Pb
0.0000 0.5000 0.0000 O
0.1687 0.3373 0.3270 O
0.1687 0.8313 0.3270 O
0.3373 0.1687 0.6730 O
0.5000 0.0000 0.0000 O
0.5000 0.5000 0.0000 O
0.6627 0.8313 0.3270 O
0.8313 0.1687 0.6730 O
0.8313 0.6627 0.6730 O
```

Output
The total DFT energy (no corrections) comes out at -6.954 eV/atom. As for the space group: P-3m1 (164). As for the theoretical density: 8.413 g/cm³.

No. 3
## NbPdO3 (PBE)

Data for NbPdO3 after structural relaxation.

Cell and atoms, written as POSCAR:
```
NbPdO3
1.0
5.6301 0.0000 0.0000
0.0000 7.7546 0.0000
0.0000 0.0000 5.3914
Nb Pd O
4 4 12
direct
0.0000 0.0000 0.0000 Nb
0.0000 0.5000 0.0000 Nb
0.5000 0.0000 0.5000 Nb
0.5000 0.5000 0.5000 Nb
0.0078 0.2500 0.4826 Pd
0.4922 0.7500 0.9826 Pd
0.5078 0.2500 0.0174 Pd
0.9922 0.7500 0.5174 Pd
0.0233 0.7500 0.0743 O
0.1843 0.5308 0.6784 O
0.1843 0.9692 0.6784 O
0.3157 0.0308 0.1784 O
0.3157 0.4692 0.1784 O
0.4767 0.2500 0.5743 O
0.5233 0.7500 0.4257 O
0.6843 0.5308 0.8216 O
0.6843 0.9692 0.8216 O
0.8157 0.0308 0.3216 O
0.8157 0.4692 0.3216 O
0.9767 0.2500 0.9257 O
```

Output
The total DFT energy (no corrections) comes out at -7.528 eV/atom. As for the space group: Pnma (62). As for the theoretical density: 6.979 g/cm³.

No. 4
## NbPdO3 (PBE)

Data for NbPdO3 after structural relaxation.

Cell and atoms, written as POSCAR:
```
NbPdO3
1.0
2.6953 1.5561 4.7440
-2.6953 1.5561 4.7440
0.0000 -3.1123 4.7440
Nb Pd O
2 2 6
direct
0.0000 0.0000 0.0000 Nb
0.5000 0.5000 0.5000 Nb
0.2500 0.2500 0.2500 Pd
0.7500 0.7500 0.7500 Pd
0.1568 0.7500 0.3432 O
0.2500 0.6568 0.8432 O
0.3432 0.1568 0.7500 O
0.6568 0.8432 0.2500 O
0.7500 0.3432 0.1568 O
0.8432 0.2500 0.6568 O
```

Output
The total DFT energy (no corrections) comes out at -7.494 eV/atom. As for the space group: R-3c (167). As for the theoretical density: 6.880 g/cm³.

No. 5
## NbPd2O4 (PBE)

Data for NbPd2O4 after structural relaxation.

Cell and atoms, written as POSCAR:
```
NbPd2O4
1.0
0.0000 4.4866 4.4866
4.4866 0.0000 4.4866
4.4866 4.4866 0.0000
Nb Pd O
2 4 8
direct
0.1250 0.1250 0.1250 Nb
0.8750 0.8750 0.8750 Nb
0.0000 0.5000 0.5000 Pd
0.5000 0.0000 0.5000 Pd
0.5000 0.5000 0.0000 Pd
0.5000 0.5000 0.5000 Pd
0.2416 0.7528 0.7528 O
0.2472 0.2472 0.2472 O
0.2472 0.2472 0.7584 O
0.2472 0.7584 0.2472 O
0.7528 0.2416 0.7528 O
0.7528 0.7528 0.2416 O
0.7528 0.7528 0.7528 O
0.7584 0.2472 0.2472 O
```

Output
The total DFT energy (no corrections) comes out at -6.769 eV/atom. As for the space group: Fd-3m (227). As for the theoretical density: 6.798 g/cm³.

No. 6
## NbPdO3 (PBE)

Data for NbPdO3 after structural relaxation.

Cell and atoms, written as POSCAR:
```
NbPdO3
1.0
2.6740 1.5438 5.0951
-2.6740 1.5438 5.0951
0.0000 -3.0877 5.0951
Nb Pd O
2 2 6
direct
0.1485 0.1485 0.1485 Nb
0.8515 0.8515 0.8515 Nb
0.3556 0.3556 0.3556 Pd
0.6444 0.6444 0.6444 Pd
0.0503 0.7911 0.4398 O
0.2089 0.5602 0.9497 O
0.4398 0.0503 0.7911 O
0.5602 0.9497 0.2089 O
0.7911 0.4398 0.0503 O
0.9497 0.2089 0.5602 O
```

Output
The total DFT energy (no corrections) comes out at -7.567 eV/atom. As for the space group: R-3 (148). As for the theoretical density: 6.508 g/cm³.